Record 1
Material: ZrRu2W
Method: DFT, PBE
State: optimized geometry

Cell lengths 5.183, 5.183, 5.183 Å; angles 136.26, 136.26, 63.57 degrees
Fractional positions:
Zr (0.000, 0.000, 0.000)
Ru (0.250, 0.750, 0.500)
Ru (0.500, 0.500, 0.000)
W (0.750, 0.250, 0.500)

Record 2
Material: CaCeAgPt
Method: DFT, PBE
State: optimized geometry

Cell lengths 5.105, 5.105, 5.105 Å; angles 60.00, 60.00, 60.00 degrees
Fractional positions:
Ca (0.000, 0.000, 0.000)
Ce (0.500, 0.500, 0.500)
Ag (0.250, 0.250, 0.250)
Pt (0.750, 0.750, 0.750)

Record 3
Material: AlGa2Ni5
Method: DFT, PBE
State: optimized geometry

Cell lengths 7.092, 7.092, 7.092 Å; angles 148.87, 148.87, 44.60 degrees
Fractional positions:
Al (0.000, 0.000, 0.000)
Ga (0.254, 0.254, 0.000)
Ga (0.746, 0.746, 0.000)
Ni (0.125, 0.625, 0.500)
Ni (0.375, 0.875, 0.500)
Ni (0.500, 0.500, 0.000)
Ni (0.625, 0.125, 0.500)
Ni (0.875, 0.375, 0.500)

Record 4
Material: RbNaMnH6
Method: DFT, PBE
State: optimized geometry

Cell lengths 5.444, 5.444, 5.361 Å; angles 90.00, 90.00, 120.00 degrees
Fractional positions:
Rb (0.000, 0.000, 0.000)
Na (0.333, 0.667, 0.500)
Mn (0.667, 0.333, 0.500)
H (0.453, 0.076, 0.689)
H (0.453, 0.377, 0.311)
H (0.623, 0.076, 0.311)
H (0.623, 0.547, 0.689)
H (0.924, 0.377, 0.689)
H (0.924, 0.547, 0.311)

Record 5
Material: Pm8Tl2Cd
Method: DFT, PBE
State: optimized geometry

Cell lengths 9.953, 9.953, 7.050 Å; angles 103.87, 103.87, 31.27 degrees
Fractional positions:
Pm (0.015, 0.015, 0.263)
Pm (0.202, 0.202, 0.804)
Pm (0.341, 0.341, 0.527)
Pm (0.408, 0.408, 0.031)
Pm (0.592, 0.592, 0.969)
Pm (0.659, 0.659, 0.473)
Pm (0.798, 0.798, 0.196)
Pm (0.985, 0.985, 0.737)
Tl (0.183, 0.183, 0.239)
Tl (0.817, 0.817, 0.761)
Cd (0.500, 0.500, 0.500)

Values from the calculation:
E above lowest polymorph (meV/atom): 36

Record 6
Material: HgGeBi
Method: DFT, PBE
State: optimized geometry

Cell lengths 4.972, 4.972, 4.972 Å; angles 60.00, 60.00, 60.00 degrees
Fractional positions:
Hg (0.000, 0.000, 0.000)
Ge (0.250, 0.250, 0.250)
Bi (0.500, 0.500, 0.500)

Values from the calculation:
E above lowest polymorph (meV/atom): 84

no.,N(E_F) (states/eV/f.u.),energy (eV per atom)
1,4.3,-9.98
2,8.7,-4.78
3,5.0,-5.22
4,0.0,-3.56
5,13.6,-4.11
6,3.0,-2.73